Record 1
## CeYTmTl (PBE)

Data for an optimized crystal structure of CeYTmTl.

The calculation puts the calculated formation energy at -1.86 kJ per mole of atoms. Its uncorrected energy is -4.83 eV per atom. The density of states at the Fermi level is 36.8 states/eV per cell.

The space group is F-43m (No. 216) and the conventional cell measures 7.742, 7.742 and 7.742 Å, with angles of 90.00, 90.00 and 90.00 degrees. Symmetry generates all atoms from Ce at (0.000, 0.000, 0.000), Y at (0.000, 0.000, 0.500), Tm at (0.250, 0.250, 0.750) and Tl at (0.250, 0.250, 0.250).

Record 2
## Cs2BeTeO (PBE)

Data for an optimized crystal structure of Cs2BeTeO.

Its uncorrected energy is -3.59 eV per atom. The density of states at the Fermi level is 0.6 states/eV per cell. For the uncorrected formation energy, the calculation gives -0.89 eV/atom.

The space group is P4/mmm (No. 123) and the conventional cell measures 7.146, 7.146 and 3.221 Å, with angles of 90.00, 90.00 and 90.00 degrees. Symmetry generates all atoms from Cs at (0.000, 0.500, 0.000), Be at (0.000, 0.000, 0.000), Te at (0.500, 0.500, 0.500) and O at (0.000, 0.000, 0.500).